Here is crystalline Zn2CrPt at its relaxed geometry from the Alexandria database. Energies are from PBE-GGA.

The value obtained for the calculated formation energy is -107 meV/atom. For the total magnetization, the calculation gives 0.77 μB/f.u.

It has space group P4mm (No. 99), with a = 2.7397 Å, b = 2.7397 Å, c = 7.5162 Å, α = 90.00°, β = 90.00° and γ = 90.00°. The inequivalent atoms are Zn at (0.0000, 0.0000, 0.0000), Zn at (0.5000, 0.5000, 0.2662), Cr at (0.0000, 0.0000, 0.5063) and Pt at (0.5000, 0.5000, 0.7404).



Here is crystalline Ru3SeF at its relaxed geometry from the Alexandria database. Energies are from PBE-GGA.

The energy above the most stable polymorph in this dataset is 0.0 meV/atom. For the total magnetization, the calculation gives 4.28 μB/f.u. The raw formation energy comes out at 1102 meV per atom.

It has space group Pm-3m (No. 221), with a = 4.6002 Å, b = 4.6002 Å, c = 4.6002 Å, α = 90.00°, β = 90.00° and γ = 90.00°. The inequivalent atoms are Ru at (0.0000, 0.0000, 0.5000), Se at (0.0000, 0.0000, 0.0000) and F at (0.5000, 0.5000, 0.5000).



Here is crystalline Al3Zn2Tc at its relaxed geometry from the Alexandria database. Energies are from PBE-GGA.

The value obtained for the calculated formation energy is -186 meV/atom. For the total magnetization, the calculation gives 0.00 μB/f.u.

It has space group Cmmm (No. 65), with a = 4.6277 Å, b = 13.8925 Å, c = 5.5738 Å, α = 90.00°, β = 90.00° and γ = 90.00°. The inequivalent atoms are Al at (0.0000, 0.0000, 0.2383), Al at (0.0000, 0.3262, 0.2440), Zn at (0.0000, 0.1589, 0.5000), Zn at (0.0000, 0.5000, 0.0000), Zn at (0.0000, 0.5000, 0.5000) and Tc at (0.0000, 0.1647, 0.0000).



| no. | DFT total energy (eV per formula unit) | N(E_F) (states/eV/cell) | density (g cm⁻³) |
| --- | --- | --- | --- |
| 1 | -18.638 | 2.6 | 11.12 |
| 2 | -27.674 | 3.4 | 6.84 |
| 3 | -25.257 | 8.4 | 5.74 |